# TeAsCl

A relaxed structure of TeAsCl (GGA-PBE, Alexandria).

Unit cell a=3.7733 b=8.0829 c=9.2052 alpha=59.22 beta=89.98 gamma=76.54
With the nearest neighbours (Å) after each atom.
Fractional coordinates of all 6 atoms:
Te: 0.6345 0.7526 0.9535  2 As 2.66
Cl: 0.0489 0.9226 0.4641  1 As 2.28
As: 0.0916 0.8385 0.1083  1 Cl 2.28
Te: 0.3356 0.3497 0.4567  2 As 2.66
Cl: 0.9213 0.1796 0.9461  1 As 2.28
As: 0.8786 0.2637 0.3020  1 Cl 2.28

- Total magnetization: 0.00 μB per formula unit
- VASP energy: -3.4814 eV per atom
- E_form (uncorrected): -0.2688 eV/atom